# LiMn2P2HO9

A relaxed structure of LiMn2P2HO9 (PBE with a Hubbard U, Alexandria).

```
30
Lattice="6.8448 0.0000 0.0000 0.0000 6.2267 -0.0484 0.0000 2.6149 8.5277" Properties=species:S:1:pos:R:3 pbc="T T T"
Li 5.1336 0.9450 1.1494
Li 1.7112 7.8966 7.3298
Mn 3.4224 3.1134 -0.0242
Mn 1.7112 4.1585 2.4542
Mn 5.1336 4.6832 6.0251
Mn 0.0000 3.1134 -0.0242
P 1.7112 5.1684 5.6696
P 5.1336 3.6733 2.8096
P 1.7112 1.1925 1.6974
P 5.1336 7.6491 6.7818
O 2.9598 4.8823 6.5185
O 5.1336 4.4744 4.0960
O 5.1336 2.7734 6.1232
O 3.8473 7.5023 7.6594
O 1.7112 3.8691 0.4355
O 1.7112 2.2535 2.8351
O 1.7112 4.3672 4.3832
O 5.1336 4.9725 8.0437
O 2.9975 1.3393 0.8199
O 0.4626 4.8823 6.5185
O 3.8850 3.9594 1.9607
O 0.4249 1.3393 0.8199
O 6.3822 3.9594 1.9607
O 1.7112 6.7752 5.4162
O 5.1336 2.0664 3.0631
O 1.7112 6.0682 2.3560
O 6.4199 7.5023 7.6594
O 5.1336 6.5881 5.6442
H 1.7112 7.0868 4.4820
H 5.1336 1.7548 3.9973
```

Calculated values
Energy   -6.97 eV/atom
Crystal system   monoclinic
Space-group type   P2_1/m, No. 11